Record 1
Na10B11C9: relaxed, PBE.

Computed properties:
energy relative to the lowest polymorph listed for this composition = 0.00 eV per formula unit
ΔE_f = 0.0250 eV/atom

CIF file:
```
data_Na10B11C9
_chemical_formula_sum 'Na10 B11 C9'
_space_group_name_H-M_alt 'P 1'
_space_group_IT_number 1
_cell_length_a 11.3231
_cell_length_b 11.3231
_cell_length_c 9.7735
_cell_angle_alpha 108.23
_cell_angle_beta 108.23
_cell_angle_gamma 14.35
loop_
_space_group_symop_operation_xyz
'x,y,z'
loop_
_atom_site_label
_atom_site_type_symbol
_atom_site_fract_x
_atom_site_fract_y
_atom_site_fract_z
_atom_site_occupancy
B1 B 0.3777 0.3777 0.5052 1
C1 C 0.0831 0.0831 0.4157 1
C2 C 0.5207 0.5207 0.7913 1
Na1 Na 0.8999 0.8999 0.2990 1
B2 B 0.2163 0.2163 0.6834 1
Na2 Na 0.7997 0.7997 0.6001 1
B3 B 0.8162 0.8162 0.8832 1
C3 C 0.6829 0.6829 0.6163 1
Na3 Na 0.3001 0.3001 0.0987 1
C4 C 0.2827 0.2827 0.8171 1
C5 C 0.8830 0.8830 0.0160 1
B4 B 0.9178 0.9178 0.5854 1
C6 C 0.3130 0.3130 0.3760 1
Na4 Na 0.1006 0.1006 0.7000 1
B5 B 0.7808 0.7808 0.3115 1
Na5 Na 0.4999 0.4999 0.5013 1
Na6 Na 0.7005 0.7005 0.9000 1
B6 B 0.5865 0.5865 0.9229 1
Na7 Na 0.5999 0.5999 0.2010 1
Na8 Na 0.4006 0.4006 0.7995 1
B7 B 0.0165 0.0165 0.2820 1
Na9 Na 0.0000 0.0000 0.0012 1
B8 B 0.1835 0.1835 0.1174 1
C7 C 0.1181 0.1181 0.9862 1
B9 B 0.4165 0.4165 0.0823 1
B10 B 0.6163 0.6163 0.4827 1
B11 B 0.9890 0.9890 0.7279 1
Na10 Na 0.1995 0.1995 0.4007 1
C8 C 0.4834 0.4834 0.2148 1
C9 C 0.7154 0.7154 0.1813 1
```

Record 2
PaAlO4F: relaxed, PBE.

Computed properties:
raw formation energy = -20.81 eV/f.u.

CIF file:
```
data_PaAlO4F
_chemical_formula_sum 'Pa2 Al2 O8 F2'
_space_group_name_H-M_alt 'P 1'
_space_group_IT_number 1
_cell_length_a 5.8612
_cell_length_b 5.8612
_cell_length_c 6.6738
_cell_angle_alpha 79.41
_cell_angle_beta 79.41
_cell_angle_gamma 71.97
loop_
_space_group_symop_operation_xyz
'x,y,z'
loop_
_atom_site_label
_atom_site_type_symbol
_atom_site_fract_x
_atom_site_fract_y
_atom_site_fract_z
_atom_site_occupancy
O1 O 0.4426 0.4426 0.7517 1
O2 O 0.1218 0.4988 0.1436 1
O3 O 0.7212 0.7212 0.4462 1
Pa1 Pa 0.2138 0.2138 0.8923 1
F1 F 0.0171 0.0171 0.1820 1
Pa2 Pa 0.7862 0.7862 0.1077 1
Al1 Al 0.3660 0.3660 0.2908 1
F2 F 0.9829 0.9829 0.8180 1
O4 O 0.8782 0.5012 0.8564 1
O5 O 0.2788 0.2788 0.5538 1
Al2 Al 0.6340 0.6340 0.7092 1
O6 O 0.5012 0.8782 0.8564 1
O7 O 0.5574 0.5574 0.2483 1
O8 O 0.4988 0.1218 0.1436 1
```

Record 3
Sr2LiCu2: relaxed, PBE.

Computed properties:
energy relative to the lowest polymorph listed for this composition = 1.02 eV per formula unit
ΔE_f = 0.1487 eV/atom

CIF file:
```
data_Sr2LiCu2
_chemical_formula_sum 'Sr4 Li2 Cu4'
_space_group_name_H-M_alt 'P 1'
_space_group_IT_number 1
_cell_length_a 8.7251
_cell_length_b 8.7251
_cell_length_c 3.7266
_cell_angle_alpha 90.00
_cell_angle_beta 90.00
_cell_angle_gamma 90.00
loop_
_space_group_symop_operation_xyz
'x,y,z'
loop_
_atom_site_label
_atom_site_type_symbol
_atom_site_fract_x
_atom_site_fract_y
_atom_site_fract_z
_atom_site_occupancy
Cu1 Cu 0.8954 0.3954 0.5000 1
Li1 Li 0.5000 0.5000 0.0000 1
Sr1 Sr 0.6744 0.1744 0.0000 1
Sr2 Sr 0.8256 0.6744 0.0000 1
Li2 Li 0.0000 0.0000 0.0000 1
Cu2 Cu 0.3954 0.1046 0.5000 1
Sr3 Sr 0.1744 0.3256 0.0000 1
Sr4 Sr 0.3256 0.8256 0.0000 1
Cu3 Cu 0.1046 0.6046 0.5000 1
Cu4 Cu 0.6046 0.8954 0.5000 1
```

Ordered M_tot results: 0.00, 1.00, 0.00; unit μB/f.u..
Ordered D(E_F) results: 4.11, 0.19, 5.28; unit states/eV per cell.